No. 1
This record from the Alexandria database describes a relaxed structure of BeAsPt2. The functional is PBE.

Output
Electronic total energy (eV for the cell shown): -21.5
DOS at the Fermi energy (states/eV/atom): 0.34
SG: No. 44

```
BeAsPt2
1.0
5.620 -0.011 -0.001
3.512 4.388 0.001
-4.516 -2.292 2.436
As Pt Be
1 2 1
Direct
0.453 0.453 0.000
0.059 0.059 0.000
0.771 0.271 0.500
0.216 0.716 0.500
```

---

No. 2
This record from the Alexandria database describes a relaxed structure of Ho4ScPd. The functional is PBE.

Output
Electronic total energy (eV for the cell shown): -62.1
DOS at the Fermi energy (states/eV/atom): 1.43
SG: No. 15

```
Ho4ScPd
1.0
-5.173 2.355 -1.070
-0.673 -5.946 6.856
4.240 6.665 1.460
Sc Ho Pd
2 8 2
Direct
0.630 0.380 0.759
0.370 0.620 0.241
0.227 0.292 0.357
0.773 0.708 0.643
0.053 0.203 0.829
0.276 0.626 0.829
0.629 0.065 0.357
0.947 0.797 0.171
0.371 0.935 0.643
0.724 0.374 0.171
0.750 0.000 0.001
0.250 0.000 0.999
```

---

No. 3
This record from the Alexandria database describes a relaxed structure of Pm5Y2Sc4. The functional is PBE.

Output
Electronic total energy (eV for the cell shown): -60.3
DOS at the Fermi energy (states/eV/atom): 1.76
SG: No. 71

```
Pm5Y2Sc4
1.0
3.443 0.000 0.000
0.000 8.749 0.000
-1.721 -4.374 11.480
Pm Y Sc
5 2 4
Direct
0.140 0.939 0.280
0.860 0.061 0.720
0.140 0.341 0.280
0.500 0.000 0.000
0.860 0.659 0.720
0.270 0.270 0.540
0.730 0.730 0.460
0.407 0.407 0.814
0.593 0.593 0.186
0.000 0.325 0.000
0.000 0.675 0.000
```

---

No. 4
This record from the Alexandria database describes a relaxed structure of Sc5In2Ni2Ru. The functional is PBE.

Output
Electronic total energy (eV for the cell shown): -125.4
DOS at the Fermi energy (states/eV/atom): 0.53
SG: No. 127

```
Sc5In2Ni2Ru
1.0
3.236 0.000 0.000
0.000 10.925 0.000
0.000 0.000 10.925
In Sc Ru Ni
4 10 2 4
Direct
0.000 0.175 0.325
0.000 0.325 0.825
0.000 0.675 0.175
0.000 0.825 0.675
0.500 0.064 0.805
0.500 0.805 0.936
0.500 0.695 0.436
0.500 0.000 0.500
0.500 0.305 0.564
0.500 0.195 0.064
0.500 0.564 0.695
0.500 0.436 0.305
0.500 0.936 0.195
0.500 0.500 0.000
0.000 0.500 0.500
0.000 0.000 0.000
0.000 0.132 0.632
0.000 0.632 0.868
0.000 0.368 0.132
0.000 0.868 0.368
```

---

> Which value of electronic total energy does entry 3 give?

-60.3 eV for the cell shown

---

What did the third record say?
This record from the Alexandria database describes a relaxed structure of Pm5Y2Sc4. The functional is PBE.

Output
Electronic total energy (eV for the cell shown): -60.3
DOS at the Fermi energy (states/eV/atom): 1.76
SG: No. 71

```
Pm5Y2Sc4
1.0
3.443 0.000 0.000
0.000 8.749 0.000
-1.721 -4.374 11.480
Pm Y Sc
5 2 4
Direct
0.140 0.939 0.280
0.860 0.061 0.720
0.140 0.341 0.280
0.500 0.000 0.000
0.860 0.659 0.720
0.270 0.270 0.540
0.730 0.730 0.460
0.407 0.407 0.814
0.593 0.593 0.186
0.000 0.325 0.000
0.000 0.675 0.000
```